(1)
Material: DyAl2Cu4Si
Method: DFT, PBE-GGA
State: optimized geometry

abc: 8.795 8.795 8.795
angles: 27.07 27.07 27.07
Fractional coordinates of all 8 atoms:
Dy 0.000 0.000 0.000
Al 0.248 0.248 0.248
Al 0.752 0.752 0.752
Cu 0.131 0.131 0.131
Cu 0.406 0.406 0.406
Cu 0.594 0.594 0.594
Cu 0.869 0.869 0.869
Si 0.500 0.500 0.500

Output
Raw formation energy ... -218 meV/atom
E_tot ... -35.6 eV/cell

=====

(2)
Material: Dy2AlCu4Si3
Method: DFT, PBE-GGA
State: optimized geometry

abc: 3.991 3.991 10.082
angles: 90.00 90.00 90.00
Fractional coordinates of all 10 atoms:
Dy 0.000 0.500 0.240
Dy 0.500 0.000 0.760
Al 0.000 0.000 0.500
Cu 0.000 0.000 0.000
Cu 0.000 0.500 0.639
Cu 0.500 0.000 0.361
Cu 0.500 0.500 0.000
Si 0.000 0.500 0.869
Si 0.500 0.000 0.131
Si 0.500 0.500 0.500

Output
Raw formation energy ... -553 meV/atom
E_tot ... -51.1 eV/cell

=====

(3)
Material: DyAl2Cu2Si
Method: DFT, PBE-GGA
State: optimized geometry

abc: 4.447 4.447 5.486
angles: 90.00 90.00 90.00
Fractional coordinates of all 6 atoms:
Dy 0.000 0.000 0.000
Al 0.500 0.500 0.234
Al 0.500 0.500 0.766
Cu 0.000 0.500 0.500
Cu 0.500 0.000 0.500
Si 0.000 0.000 0.500

Output
Raw formation energy ... -76 meV/atom
E_tot ... -26.2 eV/cell